Entry from Alexandria: an optimized crystal structure of ScCoSb2Te (GGA-PBE).

Properties
Magnetic moment = 0.00 Bohr magnetons per cell
Energy relative to the lowest polymorph listed for this composition = 0 meV per atom
ΔE_f (raw) = 0.124 eV/atom

Geometry as POSCAR:
```
ScCoSb2Te
1.0
-4.3967 1.1633 -1.5378
0.5518 -2.9097 -3.7786
-2.1087 -4.1512 2.8887
Te Sb Sc Co
1 2 1 1
direct
0.0000 0.0000 0.5000
0.0000 0.5000 0.0000
0.5000 0.0000 0.0000
0.5000 0.5000 0.5000
0.0000 0.0000 0.0000
```

=====

Entry from Alexandria: an optimized crystal structure of TcSb2N (GGA-PBE).

Properties
Magnetic moment = 0.00 Bohr magnetons per cell
ΔE_f (raw) = 0.676 eV/atom

Geometry as POSCAR:
```
TcSb2N
1.0
-0.5848 2.6015 -5.3087
-0.6082 -5.3328 -2.5463
-5.0135 -1.1457 -3.3331
Sb N Tc
4 2 2
direct
0.3750 0.4239 0.7500
0.1739 0.6250 0.2500
0.8750 0.8261 0.7500
0.5761 0.1250 0.2500
0.5000 0.5000 0.0000
0.2500 0.7500 0.5000
0.0000 0.0000 0.0000
0.7500 0.2500 0.5000
```

=====

Entry from Alexandria: an optimized crystal structure of NpTl3I2O6 (GGA-PBE).

Properties
Magnetic moment = 0.00 Bohr magnetons per cell
ΔE_f (raw) = -1.077 eV/atom

Geometry as POSCAR:
```
NpTl3I2O6
1.0
-1.4395 -5.5416 0.6367
-0.4059 -0.6247 -6.3547
7.8212 -1.7021 2.8888
I O Tl Np
2 6 3 1
direct
0.9998 0.3190 0.6380
0.0002 0.6810 0.3620
0.7297 0.2193 0.0004
0.4992 0.1460 0.2920
0.5008 0.8540 0.7080
0.7297 0.7811 0.0004
0.2703 0.2189 0.9996
0.2703 0.7807 0.9996
0.0000 0.5000 0.0000
0.5000 0.5000 0.5000
0.5000 0.0000 0.5000
0.5000 0.0000 0.0000
```

=====

Entry from Alexandria: an optimized crystal structure of NaSc2Re (GGA-PBE).

Properties
Magnetic moment = 0.00 Bohr magnetons per cell
E_form = 103.10 kJ/mol of atoms
Energy relative to the lowest polymorph listed for this composition = 837 meV per atom

Geometry as POSCAR:
```
NaSc2Re
1.0
7.6199 0.0000 0.0000
0.0000 7.6199 0.0000
3.8099 3.8099 5.6882
Re Sc Na
2 4 2
direct
0.7500 0.2500 0.5000
0.0000 0.0000 0.0000
0.3750 0.1251 0.7500
0.8750 0.1249 0.7500
0.8749 0.1250 0.2500
0.8751 0.6250 0.2500
0.2500 0.7500 0.5000
0.5000 0.5000 0.0000
```

=====

Entry from Alexandria: an optimized crystal structure of U3Pb2Se8 (GGA-PBE).

Properties
Magnetic moment = 6.00 Bohr magnetons per cell
ΔE_f (raw) = -0.922 eV/atom

Geometry as POSCAR:
```
U3Pb2Se8
1.0
-6.9768 -1.0703 -1.2699
0.5138 -7.5208 3.5160
0.4024 6.9347 4.9357
U Se Pb
3 8 2
direct
0.5000 0.0000 0.0000
0.0000 0.2565 0.0000
0.0000 0.7435 0.0000
0.6002 0.6500 0.7741
0.9333 0.6126 0.2253
0.0667 0.3874 0.7747
0.3998 0.8759 0.2259
0.3998 0.3500 0.2259
0.0957 0.8913 0.7825
0.9043 0.1087 0.2175
0.6002 0.1241 0.7741
0.6691 0.7454 0.4908
0.3309 0.2546 0.5092
```

=====

Entry from Alexandria: an optimized crystal structure of TbHo9Er2 (GGA-PBE).

Properties
Magnetic moment = 0.00 Bohr magnetons per cell
E_form = 2.13 kJ/mol of atoms
Energy relative to the lowest polymorph listed for this composition = 0 meV per atom

Geometry as POSCAR:
```
TbHo9Er2
1.0
4.9747 0.0000 0.0000
0.0000 4.9747 0.0000
0.0000 0.0000 14.9174
Ho Er Tb
9 2 1
direct
0.0000 0.5000 0.5000
0.0000 0.5000 0.8325
0.5000 0.5000 0.0000
0.5000 0.0000 0.1675
0.5000 0.0000 0.5000
0.5000 0.0000 0.8325
0.5000 0.5000 0.3340
0.5000 0.5000 0.6660
0.0000 0.5000 0.1675
0.0000 0.0000 0.6662
0.0000 0.0000 0.3338
0.0000 0.0000 0.0000
```

=====

Entry from Alexandria: an optimized crystal structure of Co2GeAs2 (GGA-PBE).

Properties
Magnetic moment = 1.60 Bohr magnetons per cell
E_form = 9.57 kJ/mol of atoms

Geometry as POSCAR:
```
Co2GeAs2
1.0
7.1422 0.0000 0.0000
0.0000 7.1422 0.0000
0.0000 0.0000 2.8204
Ge Co As
2 4 4
direct
0.0000 0.0000 0.0000
0.5000 0.5000 0.0000
0.8654 0.6346 0.0000
0.1346 0.3654 0.0000
0.6346 0.1346 0.0000
0.3654 0.8654 0.0000
0.1514 0.6514 0.5000
0.8486 0.3486 0.5000
0.3486 0.1514 0.5000
0.6514 0.8486 0.5000
```

=====

Entry from Alexandria: an optimized crystal structure of AlCl (GGA-PBE).

Properties
Magnetic moment = 0.00 Bohr magnetons per cell
ΔE_f (raw) = -0.703 eV/atom

Geometry as POSCAR:
```
AlCl
1.0
-8.8510 1.8623 5.8237
-6.0912 -1.7972 -8.6828
-0.2389 -4.7054 1.1415
Cl Al
8 8
direct
0.2453 0.0099 0.5000
0.4901 0.2547 0.0000
0.0099 0.7547 0.5000
0.2547 0.5099 0.0000
0.7547 0.9901 0.5000
0.5099 0.7453 0.0000
0.7453 0.4901 0.0000
0.9901 0.2453 0.5000
0.2723 0.2908 0.0000
0.2092 0.2277 0.5000
0.7723 0.2092 0.5000
0.7277 0.7092 0.0000
0.7908 0.7723 0.5000
0.7092 0.2723 0.0000
0.2908 0.7277 0.0000
0.2277 0.7908 0.5000
```

=====

Entry from Alexandria: an optimized crystal structure of LaNd2Si6 (GGA-PBE).

Properties
Magnetic moment = 0.00 Bohr magnetons per cell
ΔE_f (raw) = -0.599 eV/atom

Geometry as POSCAR:
```
LaNd2Si6
1.0
-2.9175 0.1346 3.0417
4.0604 -4.2894 4.0844
0.7622 7.1285 0.4156
Si Nd La
6 2 1
direct
0.5000 0.0000 0.6648
0.5000 0.6648 0.0000
0.5000 0.0000 0.3352
0.5000 0.3352 0.3352
0.5000 0.6648 0.6648
0.5000 0.3352 0.0000
0.0000 0.6667 0.3333
0.0000 0.3333 0.6667
0.0000 0.0000 0.0000
```

=====

Entry from Alexandria: an optimized crystal structure of KTl3Cd2 (GGA-PBE).

Properties
Magnetic moment = 0.00 Bohr magnetons per cell
E_form = -4.26 kJ/mol of atoms
Energy relative to the lowest polymorph listed for this composition = 0 meV per atom

Geometry as POSCAR:
```
KTl3Cd2
1.0
-0.3799 -5.2416 -0.3786
4.5984 2.2212 1.2973
-3.9143 -0.8196 15.2773
Cd Tl K
4 6 2
direct
0.3333 0.6667 0.5894
0.6667 0.3333 0.0894
0.3333 0.6667 0.9106
0.6667 0.3333 0.4106
0.6667 0.3333 0.6252
0.3333 0.6667 0.3748
0.0000 0.0000 0.5000
0.3333 0.6667 0.1252
0.0000 0.0000 0.0000
0.6667 0.3333 0.8748
0.0000 0.0000 0.7500
0.0000 0.0000 0.2500
```

=====

Entry from Alexandria: an optimized crystal structure of MgSnSb (GGA-PBE).

Properties
Magnetic moment = 0.00 Bohr magnetons per cell
ΔE_f (raw) = -0.109 eV/atom

Geometry as POSCAR:
```
MgSnSb
1.0
-4.4637 -1.3243 -0.5710
0.4468 -3.1736 3.8677
-0.1535 5.4220 4.4666
Sn Mg Sb
2 2 2
direct
0.3544 0.7500 0.3675
0.6456 0.2500 0.6325
0.2580 0.2500 0.9869
0.7420 0.7500 0.0131
0.1369 0.7500 0.7445
0.8631 0.2500 0.2555
```

=====

Entry from Alexandria: an optimized crystal structure of Sm2Ga3Ge2 (GGA-PBE).

Properties
Magnetic moment = 0.00 Bohr magnetons per cell
E_form = -42.87 kJ/mol of atoms

Geometry as POSCAR:
```
Sm2Ga3Ge2
1.0
4.3838 0.0000 0.8907
0.0000 3.6345 0.0000
0.3598 0.0000 9.7123
Ga Sm Ge
3 2 2
direct
0.7164 0.0000 0.5659
0.0000 0.0000 0.0000
0.2836 0.0000 0.4341
0.1396 0.5000 0.7181
0.8604 0.5000 0.2819
0.5804 0.0000 0.8375
0.4196 0.0000 0.1625
```

=====

Entry from Alexandria: an optimized crystal structure of KTe2Pt2 (GGA-PBE).

Properties
Magnetic moment = 0.00 Bohr magnetons per cell
ΔE_f (raw) = -0.352 eV/atom

Geometry as POSCAR:
```
KTe2Pt2
1.0
-0.2456 -4.4911 0.9080
2.6133 0.6096 3.7220
-4.0539 -0.9437 5.8293
K Pt Te
1 2 2
direct
0.0000 0.0000 0.0000
0.2500 0.7500 0.5000
0.7500 0.2500 0.5000
0.6400 0.6400 0.7200
0.3600 0.3600 0.2800
```

=====

Entry from Alexandria: an optimized crystal structure of Li2Tb2NpN4 (GGA-PBE).

Properties
Magnetic moment = 2.96 Bohr magnetons per cell
ΔE_f (raw) = -0.955 eV/atom

Geometry as POSCAR:
```
Li2Tb2NpN4
1.0
-0.6521 2.1949 2.4271
1.0559 -5.4773 2.9433
5.1758 2.6719 -1.0256
Li Np N Tb
2 1 4 2
direct
0.3133 0.6266 0.9973
0.6867 0.3734 0.0027
0.0000 0.0000 0.0000
0.7882 0.5763 0.7692
0.5280 0.0560 0.7575
0.2118 0.4237 0.2308
0.4720 0.9440 0.2425
0.8592 0.7183 0.4352
0.1408 0.2817 0.5648
```

=====

Entry from Alexandria: an optimized crystal structure of MgPaGa2Cu2 (GGA-PBE).

Properties
Magnetic moment = 0.00 Bohr magnetons per cell
E_form = -23.12 kJ/mol of atoms

Geometry as POSCAR:
```
MgPaGa2Cu2
1.0
4.2629 0.0000 0.0000
-2.1314 3.6917 0.0000
0.0000 0.0000 6.7655
Ga Pa Cu Mg
2 1 2 1
direct
0.6667 0.3333 0.7361
0.3333 0.6667 0.2639
0.0000 0.0000 0.0000
0.3333 0.6667 0.7195
0.6667 0.3333 0.2805
0.0000 0.0000 0.5000
```

=====

Entry from Alexandria: an optimized crystal structure of TaNiPb2 (GGA-PBE).

Properties
Magnetic moment = 0.00 Bohr magnetons per cell
E_form = 38.33 kJ/mol of atoms
Energy relative to the lowest polymorph listed for this composition = 234 meV per atom

Geometry as POSCAR:
```
TaNiPb2
1.0
-2.6128 2.9207 4.1448
-3.9354 0.0674 4.1285
2.1846 -1.0393 4.6537
Ta Ni Pb
1 1 2
direct
0.5391 0.5391 0.5227
0.2121 0.2121 0.2154
0.9788 0.9788 0.0637
0.7700 0.7700 0.6981
```

=====

Entry from Alexandria: an optimized crystal structure of Y6InOs2 (GGA-PBE).

Properties
Magnetic moment = 0.00 Bohr magnetons per cell
E_form = -29.30 kJ/mol of atoms

Geometry as POSCAR:
```
Y6InOs2
1.0
-7.0092 -2.3772 4.2585
0.7817 -4.0234 -7.4911
7.1166 -2.0297 4.2603
Y In Os
12 2 4
direct
0.2064 0.2423 0.4486
0.9039 0.7191 0.1848
0.3127 0.6431 0.3304
0.4657 0.2809 0.1848
0.0961 0.2809 0.8152
0.6873 0.0177 0.3304
0.7936 0.2423 0.0359
0.6873 0.3569 0.6696
0.3127 0.9823 0.6696
0.5343 0.7191 0.8152
0.7936 0.7577 0.5514
0.2064 0.7577 0.9641
0.0000 0.0000 0.0000
0.0000 0.5000 0.5000
0.5000 0.6189 0.1189
0.3303 0.0000 0.3303
0.6697 0.0000 0.6697
0.5000 0.3811 0.8811
```

=====

Entry from Alexandria: an optimized crystal structure of SmMgSi2Ir2 (GGA-PBE).

Properties
Magnetic moment = 0.00 Bohr magnetons per cell
ΔE_f (raw) = -0.793 eV/atom

Geometry as POSCAR:
```
SmMgSi2Ir2
1.0
-3.8750 1.6477 -0.5371
0.5155 -3.4828 2.3713
0.8789 3.8461 5.4578
Si Sm Mg Ir
2 1 1 2
direct
0.6667 0.3333 0.7223
0.3333 0.6667 0.2777
0.0000 0.0000 0.0000
0.0000 0.0000 0.5000
0.6667 0.3333 0.3522
0.3333 0.6667 0.6478
```

=====

Entry from Alexandria: an optimized crystal structure of PmTc2Ge5 (GGA-PBE).

Properties
Magnetic moment = 0.00 Bohr magnetons per cell
E_form = -18.18 kJ/mol of atoms

Geometry as POSCAR:
```
PmTc2Ge5
1.0
-1.7568 2.8578 -0.2955
-2.5563 1.0741 6.3965
3.8931 4.7225 3.3385
Ge Pm Tc
5 1 2
direct
0.3535 0.8747 0.4183
0.6465 0.1253 0.5817
0.3535 0.4183 0.8747
0.0000 0.5000 0.5000
0.6465 0.5817 0.1253
0.0000 0.0000 0.0000
0.7819 0.7181 0.7181
0.2181 0.2819 0.2819
```

=====

Entry from Alexandria: an optimized crystal structure of Mn2FeCu (GGA-PBE).

Properties
Magnetic moment = 7.02 Bohr magnetons per cell
E_form = 24.60 kJ/mol of atoms
Energy relative to the lowest polymorph listed for this composition = 146 meV per atom

Geometry as POSCAR:
```
Mn2FeCu
1.0
0.0000 2.8935 2.8935
2.8935 0.0000 2.8935
2.8935 2.8935 0.0000
Mn Cu Fe
2 1 1
direct
0.7500 0.7500 0.7500
0.2500 0.2500 0.2500
0.5000 0.5000 0.5000
0.0000 0.0000 0.0000
```

=====

no.,Fermi-level density of states (states/eV per cell)
1,6.3
2,0.1
3,4.3
4,1.7
5,18.6
6,17.4
7,8.3
8,0.0
9,6.9
10,5.6
11,2.1
12,3.6
13,3.9
14,5.0
15,4.7
16,2.4
17,18.7
18,3.5
19,4.6
20,6.0